1.
RbPAu2Se4 | Alexandria | PBE | relaxed; raw total energy = -3.728 eV/atom; symmetry = I222 (23)
1.0
-4.559 -3.087 3.448
1.653 -6.181 2.773
-0.605 1.607 6.759
Se Au P Rb
4 2 1 1
Direct
0.649 0.517 0.811 Se
0.977 0.483 0.189 Se
0.023 0.811 0.517 Se
0.351 0.189 0.483 Se
0.500 0.333 0.667 Au
0.500 0.667 0.333 Au
0.000 0.500 0.500 P
0.000 0.000 0.000 Rb


2.
MnSb2SI | Alexandria | PBE | relaxed; energy above the lowest structure with this stoichiometry = 274 meV per atom; symmetry = P4/mmm (123)
1.0
5.211 0.000 0.000
0.000 5.211 0.000
0.000 0.000 5.575
S I Sb Mn
1 1 2 1
Direct
0.000 0.000 0.000 S
0.000 0.000 0.500 I
0.500 0.000 0.000 Sb
0.000 0.500 0.000 Sb
0.500 0.500 0.500 Mn


3.
La3Te2N | Alexandria | PBE | relaxed; energy above the lowest structure with this stoichiometry = 0 meV per atom; symmetry = C2/c (15)
1.0
6.555 -0.311 3.066
1.230 7.351 2.020
-0.285 -0.311 7.231
Te La N
4 6 2
Direct
0.164 0.666 0.512 Te
0.488 0.834 0.836 Te
0.512 0.166 0.164 Te
0.836 0.334 0.488 Te
0.897 0.967 0.816 La
0.184 0.533 0.103 La
0.103 0.033 0.184 La
0.372 0.250 0.628 La
0.628 0.750 0.372 La
0.816 0.467 0.897 La
0.920 0.750 0.080 N
0.080 0.250 0.920 N


4.
MgZnAs2 | Alexandria | PBE | relaxed; energy above the lowest structure with this stoichiometry = 2 meV per atom; symmetry = R-3m (166)
1.0
-5.125 -0.027 -4.912
-3.369 -3.210 -5.361
-5.894 -2.867 -2.729
Mg Zn As
1 1 2
Direct
0.250 0.250 0.250 Mg
0.750 0.750 0.750 Zn
0.493 0.493 0.493 As
0.007 0.007 0.007 As


5.
SrCaIn2 | Alexandria | PBE | relaxed; energy above the lowest structure with this stoichiometry = 237 meV per atom; symmetry = Pmm2 (25)
1.0
-1.209 3.675 -0.855
-4.389 -1.332 0.479
0.252 1.755 7.187
Ca In Sr
1 2 1
Direct
0.500 0.500 0.802 Ca
0.000 0.000 0.001 In
0.500 0.500 0.232 In
0.000 0.000 0.465 Sr


6.
TmHf2B6 | Alexandria | PBE | relaxed; raw total energy = -8.064 eV/atom; symmetry = P6/mmm (191)
1.0
-2.013 2.613 1.369
-3.787 -3.708 1.509
4.081 1.333 3.455
Tm B Hf
1 6 2
Direct
0.000 0.000 0.000 Tm
0.500 0.337 0.337 B
0.500 0.337 0.000 B
0.500 0.663 0.663 B
0.500 0.000 0.337 B
0.500 0.663 0.000 B
0.500 0.000 0.663 B
0.000 0.667 0.333 Hf
0.000 0.333 0.667 Hf


7.
LiTbMg14 | Alexandria | PBE | relaxed; raw total energy = -1.813 eV/atom; symmetry = P4/mmm (123)
1.0
6.599 -0.014 0.000
0.014 6.599 0.000
0.000 0.000 8.677
Mg Tb Li
14 1 1
Direct
0.875 0.875 0.000 Mg
0.621 0.621 0.245 Mg
0.129 0.621 0.755 Mg
0.129 0.129 0.755 Mg
0.621 0.621 0.755 Mg
0.621 0.129 0.755 Mg
0.621 0.129 0.245 Mg
0.375 0.875 0.500 Mg
0.129 0.129 0.245 Mg
0.375 0.375 0.000 Mg
0.875 0.375 0.500 Mg
0.375 0.875 0.000 Mg
0.875 0.375 0.000 Mg
0.129 0.621 0.245 Mg
0.875 0.875 0.500 Tb
0.375 0.375 0.500 Li


8.
Tl2GaS | Alexandria | PBE | relaxed; energy above the lowest structure with this stoichiometry = 0 meV per atom; symmetry = I-42d (122)
1.0
-6.126 -1.844 -1.535
1.103 -5.902 2.688
-4.496 -1.781 5.984
Tl Ga S
4 2 2
Direct
0.375 0.380 0.750 Tl
0.875 0.870 0.750 Tl
0.130 0.625 0.250 Tl
0.620 0.125 0.250 Tl
0.750 0.250 0.500 Ga
0.000 0.000 0.000 Ga
0.500 0.500 0.000 S
0.250 0.750 0.500 S


9.
La2AsAu2 | Alexandria | PBE | relaxed; energy above the lowest structure with this stoichiometry = 232 meV per atom; symmetry = I4/mmm (139)
1.0
5.836 0.000 0.000
0.000 5.836 0.000
2.918 2.918 4.114
As La Au
1 2 2
Direct
0.000 0.000 0.000 As
0.750 0.250 0.500 La
0.250 0.750 0.500 La
0.658 0.658 0.685 Au
0.342 0.342 0.315 Au


10.
Pm3Er4Rh4 | Alexandria | PBE | relaxed; raw total energy = -6.253 eV/atom; symmetry = Immm (71)
1.0
3.843 0.000 0.000
0.000 8.822 0.000
-1.921 -4.411 7.912
Er Rh Pm
4 4 3
Direct
0.667 0.479 0.334 Er
0.333 0.144 0.666 Er
0.667 0.856 0.334 Er
0.333 0.521 0.666 Er
0.244 0.744 0.489 Rh
0.500 0.220 0.000 Rh
0.756 0.256 0.511 Rh
0.500 0.780 0.000 Rh
0.102 0.102 0.205 Pm
0.000 0.500 0.000 Pm
0.898 0.898 0.795 Pm


11.
Na2SrBr | Alexandria | PBE | relaxed; energy above the lowest structure with this stoichiometry = 369 meV per atom; symmetry = Fm-3m (225)
1.0
0.000 4.308 4.308
4.308 0.000 4.308
4.308 4.308 0.000
Br Na Sr
1 2 1
Direct
0.000 0.000 0.000 Br
0.750 0.750 0.750 Na
0.250 0.250 0.250 Na
0.500 0.500 0.500 Sr


12.
Ac2NdTl | Alexandria | PBE | relaxed; energy above the lowest structure with this stoichiometry = 49 meV per atom; symmetry = C2/c (15)
1.0
6.820 0.000 0.000
0.000 7.374 0.237
-3.410 -1.658 5.943
Ac Tl Nd
4 2 2
Direct
0.787 0.401 0.565 Ac
0.213 0.599 0.435 Ac
0.777 0.901 0.565 Ac
0.223 0.099 0.435 Ac
0.787 0.250 0.000 Tl
0.213 0.750 0.000 Tl
0.313 0.250 0.000 Nd
0.687 0.750 0.000 Nd